Record 1
First-principles (PBE) data for crystalline TbCeMnOs at its relaxed geometry, as listed in Alexandria via LeMat-Bulk.

Summary:
- crystal system = cubic
- electronic total energy (eV/atom) = -7.71

abc: 6.936 6.936 6.936
angles: 90.00 90.00 90.00
Positions (direct):
1 Tb 0.000 0.000 0.000
2 Tb 0.000 0.500 0.500
3 Tb 0.500 0.000 0.500
4 Tb 0.500 0.500 0.000
5 Ce 0.000 0.000 0.500
6 Ce 0.000 0.500 0.000
7 Ce 0.500 0.000 0.000
8 Ce 0.500 0.500 0.500
9 Mn 0.250 0.250 0.750
10 Mn 0.250 0.750 0.250
11 Mn 0.750 0.250 0.250
12 Mn 0.750 0.750 0.750
13 Os 0.250 0.250 0.250
14 Os 0.250 0.750 0.750
15 Os 0.750 0.250 0.750
16 Os 0.750 0.750 0.250

***

Record 2
First-principles (PBE) data for crystalline CeTmMnOs at its relaxed geometry, as listed in Alexandria via LeMat-Bulk.

Summary:
- crystal system = cubic
- electronic total energy (eV/atom) = -7.73

abc: 6.871 6.871 6.871
angles: 90.00 90.00 90.00
Positions (direct):
1 Ce 0.000 0.000 0.000
2 Ce 0.000 0.500 0.500
3 Ce 0.500 0.000 0.500
4 Ce 0.500 0.500 0.000
5 Tm 0.000 0.000 0.500
6 Tm 0.000 0.500 0.000
7 Tm 0.500 0.000 0.000
8 Tm 0.500 0.500 0.500
9 Mn 0.250 0.250 0.250
10 Mn 0.250 0.750 0.750
11 Mn 0.750 0.250 0.750
12 Mn 0.750 0.750 0.250
13 Os 0.250 0.250 0.750
14 Os 0.250 0.750 0.250
15 Os 0.750 0.250 0.250
16 Os 0.750 0.750 0.750

***

Record 3
First-principles (PBE) data for crystalline CeUMnOs at its relaxed geometry, as listed in Alexandria via LeMat-Bulk.

Summary:
- crystal system = cubic
- electronic total energy (eV/atom) = -9.41

abc: 6.593 6.593 6.593
angles: 90.00 90.00 90.00
Positions (direct):
1 Ce 0.000 0.000 0.000
2 Ce 0.000 0.500 0.500
3 Ce 0.500 0.000 0.500
4 Ce 0.500 0.500 0.000
5 U 0.250 0.250 0.250
6 U 0.250 0.750 0.750
7 U 0.750 0.250 0.750
8 U 0.750 0.750 0.250
9 Mn 0.250 0.250 0.750
10 Mn 0.250 0.750 0.250
11 Mn 0.750 0.250 0.250
12 Mn 0.750 0.750 0.750
13 Os 0.000 0.000 0.500
14 Os 0.000 0.500 0.000
15 Os 0.500 0.000 0.000
16 Os 0.500 0.500 0.500

***

Record 4
First-principles (PBE) data for crystalline CeYMnOs at its relaxed geometry, as listed in Alexandria via LeMat-Bulk.

Summary:
- crystal system = cubic
- electronic total energy (eV/atom) = -8.17

abc: 6.933 6.933 6.933
angles: 90.00 90.00 90.00
Positions (direct):
1 Ce 0.000 0.000 0.000
2 Ce 0.000 0.500 0.500
3 Ce 0.500 0.000 0.500
4 Ce 0.500 0.500 0.000
5 Y 0.000 0.000 0.500
6 Y 0.000 0.500 0.000
7 Y 0.500 0.000 0.000
8 Y 0.500 0.500 0.500
9 Mn 0.250 0.250 0.750
10 Mn 0.250 0.750 0.250
11 Mn 0.750 0.250 0.250
12 Mn 0.750 0.750 0.750
13 Os 0.250 0.250 0.250
14 Os 0.250 0.750 0.750
15 Os 0.750 0.250 0.750
16 Os 0.750 0.750 0.250

***

Record 5
First-principles (PBE) data for crystalline Ce2MnP at its relaxed geometry, as listed in Alexandria via LeMat-Bulk.

Summary:
- crystal system = trigonal
- electronic total energy (eV/atom) = -6.72

abc: 3.666 3.666 24.806
angles: 90.00 90.00 120.00
Positions (direct):
1 Ce 0.000 0.000 0.093
2 Ce 0.000 0.000 0.907
3 Ce 0.333 0.667 0.573
4 Ce 0.333 0.667 0.760
5 Ce 0.667 0.333 0.240
6 Ce 0.667 0.333 0.427
7 Mn 0.000 0.000 0.000
8 Mn 0.333 0.667 0.667
9 Mn 0.667 0.333 0.333
10 P 0.000 0.000 0.500
11 P 0.333 0.667 0.167
12 P 0.667 0.333 0.833

***

Record 6
First-principles (PBE) data for crystalline CeMnP3 at its relaxed geometry, as listed in Alexandria via LeMat-Bulk.

Summary:
- crystal system = orthorhombic
- electronic total energy (eV/atom) = -7.07

abc: 11.793 5.126 5.385
angles: 90.00 90.00 90.00
Positions (direct):
1 Ce 0.195 0.003 0.250
2 Ce 0.195 0.497 0.750
3 Ce 0.805 0.503 0.250
4 Ce 0.805 0.997 0.750
5 Mn 0.423 0.250 0.000
6 Mn 0.423 0.250 0.500
7 Mn 0.577 0.750 0.000
8 Mn 0.577 0.750 0.500
9 P 0.000 0.250 0.000
10 P 0.000 0.250 0.500
11 P 0.000 0.750 0.000
12 P 0.000 0.750 0.500
13 P 0.306 0.513 0.250
14 P 0.306 0.987 0.750
15 P 0.433 0.615 0.750
16 P 0.433 0.885 0.250
17 P 0.567 0.115 0.750
18 P 0.567 0.385 0.250
19 P 0.694 0.013 0.250
20 P 0.694 0.487 0.750

***

Record 7
First-principles (PBE) data for crystalline CeMn9P4 at its relaxed geometry, as listed in Alexandria via LeMat-Bulk.

Summary:
- crystal system = tetragonal
- electronic total energy (eV/atom) = -8.34

abc: 7.935 7.935 7.935
angles: 122.76 122.76 85.29
Positions (direct):
1 Ce 0.250 0.250 0.000
2 Ce 0.750 0.750 0.000
3 Mn 0.000 0.500 0.500
4 Mn 0.045 0.545 0.236
5 Mn 0.066 0.810 0.876
6 Mn 0.190 0.066 0.255
7 Mn 0.190 0.955 0.500
8 Mn 0.310 0.566 0.876
9 Mn 0.310 0.810 0.764
10 Mn 0.434 0.310 0.745
11 Mn 0.455 0.690 0.500
12 Mn 0.500 0.000 0.500
13 Mn 0.545 0.310 0.500
14 Mn 0.566 0.690 0.255
15 Mn 0.690 0.190 0.236
16 Mn 0.690 0.434 0.124
17 Mn 0.810 0.045 0.500
18 Mn 0.810 0.934 0.745
19 Mn 0.934 0.190 0.124
20 Mn 0.955 0.455 0.764
21 P 0.035 0.207 0.500
22 P 0.207 0.707 0.172
23 P 0.293 0.465 0.500
24 P 0.465 0.965 0.172
25 P 0.535 0.035 0.828
26 P 0.707 0.535 0.500
27 P 0.793 0.293 0.828
28 P 0.965 0.793 0.500

***

Record 8
First-principles (PBE) data for crystalline Ce2Mn12P7 at its relaxed geometry, as listed in Alexandria via LeMat-Bulk.

Summary:
- crystal system = hexagonal
- electronic total energy (eV/atom) = -8.30

abc: 9.275 9.275 3.644
angles: 90.00 90.00 120.00
Positions (direct):
1 Ce 0.000 0.000 0.000
2 Ce 0.333 0.667 0.500
3 Mn 0.058 0.286 0.500
4 Mn 0.093 0.708 0.000
5 Mn 0.228 0.942 0.500
6 Mn 0.292 0.385 0.000
7 Mn 0.391 0.180 0.000
8 Mn 0.547 0.439 0.500
9 Mn 0.561 0.107 0.500
10 Mn 0.615 0.907 0.000
11 Mn 0.714 0.772 0.500
12 Mn 0.788 0.609 0.000
13 Mn 0.820 0.212 0.000
14 Mn 0.893 0.453 0.500
15 P 0.073 0.448 0.000
16 P 0.264 0.212 0.500
17 P 0.374 0.927 0.000
18 P 0.552 0.626 0.000
19 P 0.667 0.333 0.000
20 P 0.788 0.052 0.500
21 P 0.948 0.736 0.500

***

| no. | formation energy from the elements (eV per atom) |
| --- | --- |
| 1 | 0.035 |
| 2 | -0.027 |
| 3 | 0.000 |
| 4 | 0.030 |
| 5 | -0.113 |
| 6 | -0.805 |
| 7 | -0.478 |
| 8 | -0.689 |